Record 1
Below is crystalline Tc2TeIrRh at its relaxed geometry, with properties calculated at the PBE level.

Cell lengths 4.6089, 4.6089, 4.9132 Å; angles 90.00, 90.00, 90.00 degrees
With the nearest neighbours (Å) after each atom.
Space group P4/mmm (No. 123)
Symmetry-distinct sites (fractional):
Tc 0.0000 0.5000 0.0000 (multiplicity 2)  2 Rh 2.30
Te 0.0000 0.0000 0.5000 (multiplicity 1)  2 Rh 2.46
Ir 0.5000 0.5000 0.5000 (multiplicity 1)  4 Te 3.26, 8 Tc 3.37
Rh 0.0000 0.0000 0.0000 (multiplicity 1)  4 Tc 2.30, 2 Te 2.46

Calculated values
final energy = -30.703 eV/cell
DOS at the Fermi energy = 7.3 states/eV/f.u.
uncorrected formation energy = 1.877 eV/atom

---

Record 2
Below is crystalline NbGeSCl2 at its relaxed geometry, with properties calculated at the PBE level.

Cell lengths 4.9081, 4.9081, 4.8562 Å; angles 90.00, 90.00, 90.00 degrees
With the nearest neighbours (Å) after each atom.
Space group P4/mmm (No. 123)
Symmetry-distinct sites (fractional):
Nb 0.0000 0.0000 0.0000 (multiplicity 1)  2 S 2.43, 4 Cl 2.45
Ge 0.5000 0.5000 0.5000 (multiplicity 1)  8 Cl 3.45, 4 S 3.47
S 0.0000 0.0000 0.5000 (multiplicity 1)  2 Nb 2.43
Cl 0.0000 0.5000 0.0000 (multiplicity 2)  2 Nb 2.45

Calculated values
final energy = -23.357 eV/cell
DOS at the Fermi energy = 4.6 states/eV/f.u.
uncorrected formation energy = -0.170 eV/atom

---

Record 3
Below is crystalline Na2Hf2Te6Pd at its relaxed geometry, with properties calculated at the PBE level.

Cell lengths 7.0823, 12.3134, 8.0224 Å; angles 90.00, 107.18, 90.00 degrees
With the nearest neighbours (Å) after each atom.
Space group C2/m (No. 12)
Symmetry-distinct sites (fractional):
Na 0.0000 0.1594 0.0000 (multiplicity 4)  6 Te 3.23-3.24
Hf 0.0000 0.3212 0.5000 (multiplicity 4)  6 Te 2.86-2.96
Te 0.2450 0.5000 0.6974 (multiplicity 4)  1 Pd 2.73, 2 Hf 2.96
Te 0.2468 0.3384 0.2762 (multiplicity 8)  2 Hf 2.86-2.90, 1 Pd 2.92
Pd 0.0000 0.0000 0.5000 (multiplicity 2)  6 Te 2.73-2.92

Calculated values
final energy = -108.508 eV/cell
DOS at the Fermi energy = 5.2 states/eV/f.u.
uncorrected formation energy = -0.697 eV/atom

---

Record 4
Below is crystalline ThBO4 at its relaxed geometry, with properties calculated at the PBE level.

Cell lengths 4.9000, 4.9000, 6.0166 Å; angles 90.00, 90.00, 90.00 degrees
With the nearest neighbours (Å) after each atom.
Space group I-42m (No. 121)
Symmetry-distinct sites (fractional):
Th 0.0000 0.0000 0.0000 (multiplicity 2)  8 O 2.41-2.48
B 0.0000 0.0000 0.5000 (multiplicity 2)  4 O 1.47
O 0.1747 0.1747 0.3605 (multiplicity 8)  1 B 1.47

Calculated values
final energy = -100.992 eV/cell
DOS at the Fermi energy = 2.0 states/eV/f.u.
uncorrected formation energy = -2.761 eV/atom

---

Record 5
Below is crystalline SrYOs2 at its relaxed geometry, with properties calculated at the PBE level.

Cell lengths 4.9275, 4.9275, 3.5117 Å; angles 90.00, 90.00, 90.00 degrees
With the nearest neighbours (Å) after each atom.
Space group P4/mmm (No. 123)
Symmetry-distinct sites (fractional):
Sr 0.0000 0.0000 0.0000 (multiplicity 1)  8 Os 3.03
Y 0.5000 0.5000 0.0000 (multiplicity 1)  8 Os 3.03
Os 0.0000 0.5000 0.5000 (multiplicity 2)  4 Sr 3.03, 4 Y 3.03

Calculated values
ΔH_f (0 K) = 0.74 eV per atom
final energy = -27.648 eV/cell
DOS at the Fermi energy = 5.9 states/eV/f.u.

---

Record 6
Below is crystalline ErCuGe at its relaxed geometry, with properties calculated at the PBE level.

Cell lengths 4.1985, 4.1985, 3.6957 Å; angles 90.00, 90.00, 120.00 degrees
With the nearest neighbours (Å) after each atom.
Space group P-6m2 (No. 187)
Symmetry-distinct sites (fractional):
Er 0.0000 0.0000 0.0000 (multiplicity 1)  6 Cu 3.05, 6 Ge 3.05
Cu 0.3333 0.6667 0.5000 (multiplicity 1)  3 Ge 2.42
Ge 0.6667 0.3333 0.5000 (multiplicity 1)  3 Cu 2.42

Calculated values
ΔH_f (0 K) = -0.64 eV per atom
final energy = -15.205 eV/cell
DOS at the Fermi energy = 1.0 states/eV/f.u.

---

Record 7
Below is crystalline EuHfMg2 at its relaxed geometry, with properties calculated at the PBE level.

Cell lengths 3.1452, 3.1452, 36.3775 Å; angles 90.00, 90.00, 120.00 degrees
With the nearest neighbours (Å) after each atom.
Space group R-3m (No. 166, hexagonal axes)
Symmetry-distinct sites (fractional):
Eu 0.0000 0.0000 0.0000 (multiplicity 3)  6 Eu 3.15, 6 Mg 3.51
Hf 0.0000 0.0000 0.5000 (multiplicity 3)  2 Mg 3.06, 6 Hf 3.15
Mg 0.0000 0.0000 0.4158 (multiplicity 6)  1 Hf 3.06, 6 Mg 3.15

Calculated values
ΔH_f (0 K) = 0.40 eV per atom
final energy = -65.496 eV/cell
DOS at the Fermi energy = 3.1 states/eV/f.u.

---

Record 8
Below is crystalline ScFe2Pt at its relaxed geometry, with properties calculated at the PBE level.

Cell lengths 4.3622, 4.3622, 6.2305 Å; angles 90.00, 90.00, 90.00 degrees
With the nearest neighbours (Å) after each atom.
Space group I-4m2 (No. 119)
Symmetry-distinct sites (fractional):
Sc 0.0000 0.0000 0.0000 (multiplicity 2)  4 Fe 2.68, 4 Pt 2.68
Fe 0.0000 0.0000 0.5000 (multiplicity 2)  4 Fe 2.68, 4 Pt 2.68
Fe 0.0000 0.5000 0.7500 (multiplicity 2)  4 Fe 2.68, 4 Sc 2.68
Pt 0.0000 0.5000 0.2500 (multiplicity 2)  4 Fe 2.68, 4 Sc 2.68

Calculated values
ΔH_f (0 K) = -0.36 eV per atom
final energy = -61.453 eV/cell
DOS at the Fermi energy = 1.7 states/eV/f.u.